1.
Density functional theory data (PBE-GGA) for a geometry-optimized KReAg2 structure.

abc: 2.7649 2.7649 10.3104
angles: 90.00 90.00 90.00
Atoms (fractional coordinates):
Ag  0.0000  0.0000  0.9952
Ag  0.5000  0.5000  0.2160
K  0.0000  0.0000  0.5074
Re  0.5000  0.5000  0.7814

DFT formation energy = 304 kJ/mol of formula units
V = 19.70 A^3/atom
Space group = P4mm, No. 99
ρ = 9292 kg/m³
Polymorph energy (0 for the lowest one) = 0.025 eV/atom

2.
Density functional theory data (PBE-GGA) for a geometry-optimized KReAg2 structure.

abc: 4.9445 4.9445 4.9445
angles: 60.00 60.00 60.00
Site moments in Bohr magnetons follow the coordinates.
Atoms (fractional coordinates):
Re  0.7500  0.7500  0.7500  2.76
Ag  0.2500  0.2500  0.2500  -0.01
K  0.5000  0.5000  0.5000  0.03
Ag  0.0000  0.0000  0.0000  0.08

DFT formation energy = 548 kJ/mol of formula units
V = 21.37 A^3/atom
Space group = F-43m, No. 216
ρ = 8568 kg/m³
Polymorph energy (0 for the lowest one) = 0.656 eV/atom

3.
Density functional theory data (PBE-GGA) for a geometry-optimized KRe2Ag structure.

abc: 2.6437 2.6437 10.5897
angles: 90.00 90.00 90.00
Atoms (fractional coordinates):
Re  0.0000  0.0000  0.4690
Re  0.0000  0.0000  0.0310
Ag  0.5000  0.5000  0.2500
K  0.5000  0.5000  0.7500

DFT formation energy = 441 kJ/mol of formula units
V = 18.50 A^3/atom
Space group = P4/mmm, No. 123
ρ = 11653 kg/m³
Polymorph energy (0 for the lowest one) = 0.487 eV/atom

4.
Density functional theory data (PBE-GGA) for a geometry-optimized KReAg structure.

abc: 2.8374 2.8374 8.4638
angles: 90.00 90.00 120.00
Atoms (fractional coordinates):
Re  0.3333  0.6667  0.6862
K  0.6667  0.3333  0.3374
Ag  0.0000  0.0000  0.9764

DFT formation energy = 292 kJ/mol of formula units
V = 19.67 A^3/atom
Space group = P3m1, No. 156
ρ = 9375 kg/m³
Polymorph energy (0 for the lowest one) = 0.000 eV/atom